First-principles (PBE) data for a relaxed Pu2MgOs crystal, as listed in Alexandria.

The structure belongs to space group P4/mmm (No. 123); the cell edges are 3.2249, 3.2249 and 8.8403 Å and the angles 90.00°, 90.00° and 90.00°. The distinct sites, in fractional coordinates, are Pu at (0.0000, 0.0000, 0.2041), Mg at (0.5000, 0.5000, 0.5000) and Os at (0.5000, 0.5000, 0.0000).

For the density of states at the Fermi level, the calculation gives 9.3 states/eV/f.u. Its crystal system is tetragonal. The total energy comes out at -10.389 eV per atom.

=====

First-principles (PBE) data for a relaxed AcSmPt10 crystal, as listed in Alexandria.

The structure belongs to space group Pmmm (No. 47); the cell edges are 4.4348, 5.4720 and 9.4571 Å and the angles 90.00°, 90.00° and 90.00°. The distinct sites, in fractional coordinates, are Ac at (0.0000, 0.0000, 0.0000), Sm at (0.0000, 0.5000, 0.5000), Pt at (0.0000, 0.0000, 0.3382), Pt at (0.0000, 0.5000, 0.1735), Pt at (0.5000, 0.0000, 0.5000), Pt at (0.5000, 0.2516, 0.2539) and Pt at (0.5000, 0.5000, 0.0000).

For the density of states at the Fermi level, the calculation gives 8.5 states/eV/f.u. Its crystal system is orthorhombic. The total energy comes out at -6.510 eV per atom.

=====

| no. | ΔH_f (0 K) (eV/f.u.) |
| --- | --- |
| 1 | -0.068 |
| 2 | -8.885 |